Compound: Sc5Zn2CoNi2
Source: Alexandria
Functional: PBE
Structure: optimized geometry

Properties
* crystal system: tetragonal
* V: 17.968 Å³/atom
* total energy: -5.581 eV/atom
* calculated formation energy: -0.294 eV/atom

```
Sc5Zn2CoNi2
1.0
10.5754 0.0000 0.0000
0.0000 10.5754 0.0000
0.0000 0.0000 3.2132
Sc Zn Co Ni
10 4 2 4
Direct
0.0000 0.5000 0.0000
0.0769 0.1898 0.0000
0.1898 0.9231 0.0000
0.3102 0.4231 0.0000
0.4231 0.6898 0.0000
0.5000 0.0000 0.0000
0.5769 0.3102 0.0000
0.6898 0.5769 0.0000
0.8102 0.0769 0.0000
0.9231 0.8102 0.0000
0.1734 0.6734 0.5000
0.3266 0.1734 0.5000
0.6734 0.8266 0.5000
0.8266 0.3266 0.5000
0.0000 0.0000 0.5000
0.5000 0.5000 0.5000
0.1352 0.3648 0.5000
0.3648 0.8648 0.5000
0.6352 0.1352 0.5000
0.8648 0.6352 0.5000
```